K2CoHg | PBE-GGA | relaxed

abc: 4.796 5.219 11.700
angles: 90.00 90.00 90.00
Space group Amm2 (No. 38)
Asymmetric unit:
K (0.000, 0.000, 0.000) x2
K (0.500, 0.000, 0.303) x2
Co (0.000, 0.000, 0.684) x2
Hg (0.500, 0.000, 0.611) x2

**Energy of formation from the pure elements**: 0.4259 eV per atom
**Crystal system**: orthorhombic

Nb3S5 | PBE-GGA | relaxed

abc: 5.863 7.172 7.947
angles: 108.02 97.22 105.69
Space group P1 (No. 1)
Asymmetric unit:
Nb (0.000, 0.000, 0.000) x1
Nb (0.075, 0.316, 0.779) x1
Nb (0.198, 0.392, 0.402) x1
Nb (0.405, 0.790, 0.798) x1
Nb (0.599, 0.194, 0.193) x1
Nb (0.804, 0.588, 0.598) x1
S (0.036, 0.652, 0.913) x1
S (0.104, 0.949, 0.692) x1
S (0.234, 0.040, 0.297) x1
S (0.303, 0.356, 0.095) x1
S (0.454, 0.435, 0.703) x1
S (0.501, 0.745, 0.496) x1
S (0.635, 0.842, 0.101) x1
S (0.702, 0.153, 0.890) x1
S (0.818, 0.220, 0.487) x1
S (0.904, 0.550, 0.298) x1

**Raw formation energy**: -1123 meV per atom
**Crystal system**: triclinic

CeEuDyTh | PBE-GGA | relaxed

abc: 8.110 8.110 8.110
angles: 90.00 90.00 90.00
Space group F-43m (No. 216)
Asymmetric unit:
Ce (0.000, 0.000, 0.000) x4
Eu (0.000, 0.000, 0.500) x4
Dy (0.250, 0.250, 0.250) x4
Th (0.250, 0.250, 0.750) x4

**Energy of formation from the pure elements**: 0.2959 eV per atom
**Crystal system**: cubic

CuAsPt | PBE-GGA | relaxed

abc: 3.0201 3.0201 5.9006
angles: 90.00 90.00 120.00
Space group P3m1 (No. 156)
Asymmetric unit:
Cu (0.0000, 0.0000, 0.0000) x1
As (0.3333, 0.6667, 0.6708) x1
Pt (0.6667, 0.3333, 0.3423) x1

**Energy of formation from the pure elements**: 0.0059 eV per atom
**Relative energy among the computed polymorphs**: 123.6 meV per atom
**Crystal system**: trigonal

BaGa3Pd | PBE-GGA | relaxed

abc: 6.6291 6.6291 5.9422
angles: 90.00 90.00 120.00
Space group P-3m1 (No. 164)
Asymmetric unit:
Ba (0.3333, 0.6667, 0.2493) x2
Ga (0.1867, 0.3735, 0.7496) x6
Pd (0.0000, 0.0000, 0.0000) x1
Pd (0.0000, 0.0000, 0.5000) x1

**Energy of formation from the pure elements**: -0.4453 eV per atom
**Crystal system**: trigonal

Mn2ZnRh | PBE-GGA | relaxed

abc: 2.6446 2.6446 8.3322
angles: 90.00 90.00 120.00
Space group P3m1 (No. 156)
Asymmetric unit:
Mn (0.0000, 0.0000, 0.0000) x1
Mn (0.3333, 0.6667, 0.2237) x1
Zn (0.6667, 0.3333, 0.4837) x1
Rh (0.3333, 0.6667, 0.7516) x1

**Energy of formation from the pure elements**: -0.0069 eV per atom
**Crystal system**: trigonal

ZrGaAs2Br | PBE-GGA | relaxed

abc: 4.867 4.867 5.013
angles: 90.00 90.00 90.00
Space group P4/mmm (No. 123)
Asymmetric unit:
Zr (0.000, 0.000, 0.000) x1
Ga (0.500, 0.500, 0.500) x1
As (0.000, 0.500, 0.500) x2
Br (0.500, 0.500, 0.000) x1

**Raw formation energy**: 396 meV per atom
**Relative energy among the computed polymorphs**: 525.4 meV per atom
**Crystal system**: tetragonal

Nd3Si2Pd4 | PBE-GGA | relaxed

abc: 10.619 4.419 8.686
angles: 90.00 111.65 90.00
Space group C2/m (No. 12)
Asymmetric unit:
Nd (0.000, 0.000, 0.000) x2
Nd (0.134, 0.500, 0.692) x4
Si (0.159, 0.500, 0.325) x4
Pd (0.113, 0.000, 0.422) x4
Pd (0.216, 0.500, 0.076) x4

**Raw formation energy**: -860 meV per atom
**Crystal system**: monoclinic

AcTmGe | PBE-GGA | relaxed

abc: 4.8483 4.8483 4.5992
angles: 90.00 90.00 120.00
Space group P3m1 (No. 156)
Asymmetric unit:
Ac (0.0000, 0.0000, 0.0000) x1
Tm (0.3333, 0.6667, 0.4998) x1
Ge (0.6667, 0.3333, 0.5020) x1

**Energy of formation from the pure elements**: -0.4480 eV per atom
**Relative energy among the computed polymorphs**: 119.6 meV per atom
**Crystal system**: trigonal

NdAl4Cu2Pd | PBE-GGA | relaxed

abc: 4.2214 4.2214 27.0315
angles: 90.00 90.00 120.00
Space group R-3m (No. 166, hexagonal axes)
Asymmetric unit:
Nd (0.0000, 0.0000, 0.0000) x3
Al (0.0000, 0.0000, 0.1299) x6
Al (0.0000, 0.0000, 0.4053) x6
Cu (0.0000, 0.0000, 0.2382) x6
Pd (0.0000, 0.0000, 0.5000) x3

**Energy of formation from the pure elements**: -0.4531 eV per atom
**Crystal system**: trigonal

LiYCdAu2 | PBE-GGA | relaxed

abc: 4.8671 4.8671 5.6070
angles: 90.00 90.00 120.00
Space group P3m1 (No. 156)
Asymmetric unit:
Li (0.0000, 0.0000, 0.0000) x1
Y (0.6667, 0.3333, 0.3853) x1
Cd (0.3333, 0.6667, 0.7385) x1
Au (0.0000, 0.0000, 0.5150) x1
Au (0.3333, 0.6667, 0.2206) x1

**Energy of formation from the pure elements**: -0.4965 eV per atom
**Crystal system**: trigonal

K2AcTi2O7 | PBE-GGA | relaxed

abc: 3.953 3.953 21.999
angles: 90.00 90.00 90.00
Space group I4/mmm (No. 139)
Asymmetric unit:
K (0.000, 0.000, 0.191) x4
Ac (0.000, 0.000, 0.000) x2
Ti (0.000, 0.000, 0.399) x4
O (0.000, 0.000, 0.319) x4
O (0.000, 0.000, 0.500) x2
O (0.000, 0.500, 0.085) x8

**Raw formation energy**: -2704 meV per atom
**Crystal system**: tetragonal